Entry 1:
DFT (PBE-GGA) results for TbPmNd5Y2 after structural relaxation.

Cell lengths 10.6428, 10.6428, 10.7473 Å; angles 90.00, 90.00, 148.86 degrees
Closest atoms and distances in Å follow each position.
Fractional positions:
Tb1 0.0894 0.9106 0.5000  5 Nd 3.09-3.38
Tb2 0.9106 0.0894 0.0000  5 Nd 3.09-3.38
Pm1 0.2980 0.7020 0.0518  2 Y 3.48-3.77, 7 Nd 3.54-3.81, 2 Tb 3.71
Pm2 0.7020 0.2980 0.5518  2 Y 3.48-3.77, 7 Nd 3.54-3.81, 2 Tb 3.71
Nd1 0.0210 0.9790 0.7856  2 Tb 3.23-3.38, 2 Nd 3.51-3.52, 2 Y 3.57
Nd2 0.1072 0.8928 0.0683  5 Nd 3.51-3.84, 4 Y 3.62-3.64, 1 Pm 3.92
Nd3 0.2038 0.7962 0.7457  3 Nd 3.47-3.77, 1 Tb 3.53, 3 Pm 3.54-3.81, 3 Y 3.59-3.82
Nd4 0.2182 0.7818 0.3516  1 Tb 3.09, 1 Y 3.38
Nd5 0.4823 0.5177 0.0652  2 Tb 3.29, 3 Y 3.49-3.62
Nd6 0.5177 0.4823 0.5652  2 Tb 3.29, 3 Y 3.49-3.62
Nd7 0.7818 0.2182 0.8516  1 Tb 3.09, 1 Y 3.38
Nd8 0.7962 0.2038 0.2457  3 Nd 3.47-3.77, 1 Tb 3.53, 3 Pm 3.54-3.81, 3 Y 3.59-3.82
Nd9 0.8928 0.1072 0.5683  5 Nd 3.51-3.84, 4 Y 3.62-3.64, 1 Pm 3.92
Nd10 0.9790 0.0210 0.2856  2 Tb 3.23-3.38, 2 Nd 3.51-3.52, 2 Y 3.57
Y1 0.3830 0.6170 0.3628  8 Nd 3.38-3.62, 1 Pm 3.77
Y2 0.3892 0.6108 0.7788  1 Pm 3.48, 7 Nd 3.49-3.82, 2 Tb 3.74
Y3 0.6108 0.3892 0.2788  1 Pm 3.48, 7 Nd 3.49-3.82, 2 Tb 3.74
Y4 0.6170 0.3830 0.8628  8 Nd 3.38-3.62, 1 Pm 3.77

Values from the calculation:
E (eV/cell): -89.8

***

Entry 2:
DFT (PBE-GGA) results for NaSrRh after structural relaxation.

Cell lengths 4.3617, 4.3617, 13.4147 Å; angles 99.37, 99.37, 60.00 degrees
Closest atoms and distances in Å follow each position.
Fractional positions:
Na1 0.0000 0.0000 0.0000  3 Na 3.63
Na2 0.7323 0.7323 0.1986  3 Na 3.63
Sr1 0.1493 0.1493 0.4500  6 Rh 3.20
Sr2 0.2495 0.2495 0.7496  6 Rh 3.20
Rh1 0.5326 0.5326 0.5997  3 Rh 2.52
Rh2 0.8660 0.8660 0.5997  3 Rh 2.52

Values from the calculation:
E (eV/cell): -21.5
Relative energy among the computed polymorphs (kJ per mole of atoms): 0.0

***

E of number 2 (NaSrRh)?
-21.5 eV/cell

***

The highest E belongs to which entry?
NaSrRh